# 1
# Tl12Ga5Hg3

A relaxed Tl12Ga5Hg3 crystal (PBE, Alexandria via LeMat-Bulk).

Calculated values
uncorrected energy	-40.69	eV per formula unit
crystal system	cubic
density	8.8	g/cm³

Cell: 14.949 14.949 14.949 Å, 109.47 109.47 109.47°
Element x y z (fractional)
Tl1 0.051 0.223 0.126
Tl2 0.051 0.328 0.925
Tl3 0.075 0.626 0.403
Tl4 0.075 0.949 0.672
Tl5 0.097 0.723 0.672
Tl6 0.097 0.874 0.425
Tl7 0.126 0.051 0.223
Tl8 0.126 0.575 0.903
Tl9 0.172 0.223 0.597
Tl10 0.172 0.449 0.575
Tl11 0.223 0.126 0.051
Tl12 0.223 0.597 0.172
Tl13 0.277 0.328 0.903
Tl14 0.277 0.449 0.374
Tl15 0.328 0.903 0.277
Tl16 0.328 0.925 0.051
Tl17 0.374 0.277 0.449
Tl18 0.374 0.597 0.925
Tl19 0.403 0.075 0.626
Tl20 0.403 0.828 0.777
Tl21 0.425 0.097 0.874
Tl22 0.425 0.828 0.551
Tl23 0.449 0.374 0.277
Tl24 0.449 0.575 0.172
Tl25 0.551 0.425 0.828
Tl26 0.551 0.626 0.723
Tl27 0.575 0.172 0.449
Tl28 0.575 0.903 0.126
Tl29 0.597 0.172 0.223
Tl30 0.597 0.925 0.374
Tl31 0.626 0.403 0.075
Tl32 0.626 0.723 0.551
Tl33 0.672 0.075 0.949
Tl34 0.672 0.097 0.723
Tl35 0.723 0.551 0.626
Tl36 0.723 0.672 0.097
Tl37 0.777 0.403 0.828
Tl38 0.777 0.874 0.949
Tl39 0.828 0.551 0.425
Tl40 0.828 0.777 0.403
Tl41 0.874 0.425 0.097
Tl42 0.874 0.949 0.777
Tl43 0.903 0.126 0.575
Tl44 0.903 0.277 0.328
Tl45 0.925 0.051 0.328
Tl46 0.925 0.374 0.597
Tl47 0.949 0.672 0.075
Tl48 0.949 0.777 0.874
Ga1 0.000 0.000 0.000
Ga2 0.000 0.000 0.500
Ga3 0.000 0.500 0.000
Ga4 0.000 0.500 0.500
Ga5 0.125 0.750 0.875
Ga6 0.125 0.875 0.250
Ga7 0.250 0.125 0.875
Ga8 0.250 0.625 0.375
Ga9 0.375 0.250 0.625
Ga10 0.375 0.625 0.750
Ga11 0.500 0.000 0.000
Ga12 0.500 0.000 0.500
Ga13 0.500 0.500 0.000
Ga14 0.500 0.500 0.500
Ga15 0.625 0.375 0.250
Ga16 0.625 0.750 0.375
Ga17 0.750 0.375 0.625
Ga18 0.750 0.875 0.125
Ga19 0.875 0.125 0.750
Ga20 0.875 0.250 0.125
Hg1 0.125 0.250 0.375
Hg2 0.125 0.375 0.750
Hg3 0.250 0.375 0.125
Hg4 0.250 0.875 0.625
Hg5 0.375 0.125 0.250
Hg6 0.375 0.750 0.125
Hg7 0.625 0.250 0.875
Hg8 0.625 0.875 0.750
Hg9 0.750 0.125 0.375
Hg10 0.750 0.625 0.875
Hg11 0.875 0.625 0.250
Hg12 0.875 0.750 0.625

# 2
# Tl2GaHg9

A relaxed Tl2GaHg9 crystal (PBE, Alexandria via LeMat-Bulk).

Calculated values
uncorrected energy	-10.39	eV per formula unit
crystal system	tetragonal
density	11.6	g/cm³

Cell: 5.164 5.164 12.278 Å, 90.00 90.00 90.00°
Element x y z (fractional)
Tl1 0.000 0.000 0.176
Tl2 0.000 0.000 0.824
Ga1 0.000 0.000 0.500
Hg1 0.000 0.500 0.000
Hg2 0.000 0.500 0.348
Hg3 0.000 0.500 0.652
Hg4 0.500 0.000 0.000
Hg5 0.500 0.000 0.348
Hg6 0.500 0.000 0.652
Hg7 0.500 0.500 0.173
Hg8 0.500 0.500 0.500
Hg9 0.500 0.500 0.827

# 3
# Tl3GaHg6

A relaxed Tl3GaHg6 crystal (PBE, Alexandria via LeMat-Bulk).

Calculated values
uncorrected energy	-11.76	eV per formula unit
crystal system	trigonal
density	10.8	g/cm³

Cell: 4.005 4.005 20.941 Å, 90.00 90.00 120.00°
Element x y z (fractional)
Tl1 0.000 0.000 0.000
Tl2 0.000 0.000 0.309
Tl3 0.000 0.000 0.691
Ga1 0.000 0.000 0.500
Hg1 0.333 0.667 0.107
Hg2 0.333 0.667 0.417
Hg3 0.333 0.667 0.797
Hg4 0.667 0.333 0.203
Hg5 0.667 0.333 0.583
Hg6 0.667 0.333 0.893

# 4
# Tl12GaHg6

A relaxed Tl12GaHg6 crystal (PBE, Alexandria via LeMat-Bulk).

Calculated values
uncorrected energy	-32.77	eV per formula unit
relative energy among the computed polymorphs	0	meV/atom
crystal system	trigonal
density	10.9	g/cm³

Cell: 8.460 8.460 8.460 Å, 100.66 100.66 100.66°
Element x y z (fractional)
Tl1 0.154 0.161 0.420
Tl2 0.161 0.420 0.154
Tl3 0.175 0.627 0.574
Tl4 0.373 0.426 0.825
Tl5 0.420 0.154 0.161
Tl6 0.426 0.825 0.373
Tl7 0.574 0.175 0.627
Tl8 0.580 0.846 0.839
Tl9 0.627 0.574 0.175
Tl10 0.825 0.373 0.426
Tl11 0.839 0.580 0.846
Tl12 0.846 0.839 0.580
Ga1 0.500 0.500 0.500
Hg1 0.014 0.763 0.248
Hg2 0.237 0.752 0.986
Hg3 0.248 0.014 0.763
Hg4 0.752 0.986 0.237
Hg5 0.763 0.248 0.014
Hg6 0.986 0.237 0.752

# 5
# Tl2GaHg4

A relaxed Tl2GaHg4 crystal (PBE, Alexandria via LeMat-Bulk).

Calculated values
uncorrected energy	-8.62	eV per formula unit
relative energy among the computed polymorphs	0	meV/atom
crystal system	orthorhombic
density	10.7	g/cm³

Cell: 6.617 6.362 6.709 Å, 60.76 57.03 62.21°
Element x y z (fractional)
Tl1 0.000 0.000 0.500
Tl2 0.500 0.500 0.000
Ga1 0.497 0.497 0.503
Hg1 0.045 0.402 0.955
Hg2 0.402 0.045 0.598
Hg3 0.589 0.944 0.056
Hg4 0.944 0.589 0.411

# 6
# Tl4GaHg7

A relaxed Tl4GaHg7 crystal (PBE, Alexandria via LeMat-Bulk).

Calculated values
uncorrected energy	-14.56	eV per formula unit
crystal system	trigonal
density	11.4	g/cm³

Cell: 3.550 3.550 30.707 Å, 90.00 90.00 120.00°
Element x y z (fractional)
Tl1 0.333 0.667 0.154
Tl2 0.333 0.667 0.410
Tl3 0.667 0.333 0.590
Tl4 0.667 0.333 0.846
Ga1 0.000 0.000 0.000
Hg1 0.000 0.000 0.242
Hg2 0.000 0.000 0.500
Hg3 0.000 0.000 0.758
Hg4 0.333 0.667 0.677
Hg5 0.333 0.667 0.931
Hg6 0.667 0.333 0.069
Hg7 0.667 0.333 0.323

# 7
# Tl2GaHg

A relaxed Tl2GaHg crystal (PBE, Alexandria via LeMat-Bulk).

Calculated values
uncorrected energy	-7.56	eV per formula unit
crystal system	tetragonal
density	9.9	g/cm³

Cell: 11.916 11.916 11.916 Å, 158.48 158.48 30.62°
Element x y z (fractional)
Tl1 0.123 0.625 0.998
Tl2 0.375 0.373 0.498
Tl3 0.627 0.125 0.002
Tl4 0.875 0.877 0.502
Ga1 0.000 0.000 0.000
Ga2 0.750 0.250 0.500
Hg1 0.250 0.750 0.500
Hg2 0.500 0.500 0.000

# 8
# Tl12GaHg7

A relaxed Tl12GaHg7 crystal (PBE, Alexandria via LeMat-Bulk).

Calculated values
uncorrected energy	-33.20	eV per formula unit
relative energy among the computed polymorphs	0	meV/atom
crystal system	trigonal
density	11.2	g/cm³

Cell: 8.736 8.736 8.736 Å, 105.02 105.02 105.02°
Element x y z (fractional)
Tl1 0.027 0.749 0.268
Tl2 0.154 0.190 0.422
Tl3 0.190 0.422 0.154
Tl4 0.251 0.732 0.973
Tl5 0.268 0.027 0.749
Tl6 0.422 0.154 0.190
Tl7 0.578 0.846 0.810
Tl8 0.732 0.973 0.251
Tl9 0.749 0.268 0.027
Tl10 0.810 0.578 0.846
Tl11 0.846 0.810 0.578
Tl12 0.973 0.251 0.732
Ga1 0.500 0.500 0.500
Hg1 0.000 0.000 0.000
Hg2 0.182 0.607 0.561
Hg3 0.393 0.439 0.818
Hg4 0.439 0.818 0.393
Hg5 0.561 0.182 0.607
Hg6 0.607 0.561 0.182
Hg7 0.818 0.393 0.439

| no. | formation energy from the elements (eV per atom) |
| --- | --- |
| 1 | 0.187 |
| 2 | 0.007 |
| 3 | 0.018 |
| 4 | 0.024 |
| 5 | 0.050 |
| 6 | 0.003 |
| 7 | 0.126 |
| 8 | 0.017 |